(1)
Here is a relaxed structure of Sm8Al2Pt from the Alexandria database. Energies are from PBE-GGA.

POSCAR file:
```
Sm8Al2Pt
1.0
9.483 -2.544 0.000
9.483 2.544 0.000
-1.549 0.000 6.595
Sm Al Pt
8 2 1
Direct
0.022 0.022 0.278
0.211 0.211 0.805
0.348 0.348 0.525
0.407 0.407 0.043
0.593 0.593 0.957
0.652 0.652 0.475
0.789 0.789 0.195
0.978 0.978 0.722
0.187 0.187 0.249
0.813 0.813 0.751
0.500 0.500 0.500
```

The space group is C2/m. The volume is 318.2 Å³ per cell. Its energy of formation is -0.33 eV per atom.

(2)
Here is a relaxed structure of SmAl5Pt3 from the Alexandria database. Energies are from PBE-GGA.

POSCAR file:
```
SmAl5Pt3
1.0
2.029 -6.477 0.000
2.029 6.477 0.000
0.000 0.000 12.573
Sm Al Pt
2 10 6
Direct
0.156 0.844 0.750
0.844 0.156 0.250
0.000 0.000 0.000
0.000 0.000 0.500
0.200 0.800 0.063
0.200 0.800 0.437
0.441 0.559 0.648
0.441 0.559 0.852
0.559 0.441 0.148
0.559 0.441 0.352
0.800 0.200 0.563
0.800 0.200 0.937
0.126 0.874 0.250
0.388 0.612 0.046
0.388 0.612 0.454
0.612 0.388 0.546
0.612 0.388 0.954
0.874 0.126 0.750
```

The space group is Cmcm. The volume is 330.5 Å³ per cell. Its energy of formation is -0.93 eV per atom.

(3)
Here is a relaxed structure of SmAl4Pt4 from the Alexandria database. Energies are from PBE-GGA.

POSCAR file:
```
SmAl4Pt4
1.0
6.219 0.000 0.000
0.000 6.219 0.000
0.000 0.000 8.406
Sm Al Pt
2 8 8
Direct
0.250 0.750 0.250
0.750 0.250 0.750
0.015 0.250 0.145
0.250 0.015 0.645
0.250 0.485 0.645
0.485 0.250 0.145
0.515 0.750 0.855
0.750 0.515 0.355
0.750 0.985 0.355
0.985 0.750 0.855
0.029 0.250 0.447
0.250 0.029 0.947
0.250 0.471 0.947
0.471 0.250 0.447
0.529 0.750 0.553
0.750 0.529 0.053
0.750 0.971 0.053
0.971 0.750 0.553
```

The space group is P4_2/nmc. The volume is 325.1 Å³ per cell. Its energy of formation is -0.95 eV per atom.

(4)
Here is a relaxed structure of Sm3Al4Pt4 from the Alexandria database. Energies are from PBE-GGA.

POSCAR file:
```
Sm3Al4Pt4
1.0
-2.097 3.620 7.155
2.097 -3.620 7.155
2.097 3.620 -7.155
Sm Al Pt
3 4 4
Direct
0.000 0.000 0.000
0.380 0.880 0.500
0.620 0.120 0.500
0.019 0.322 0.697
0.375 0.678 0.697
0.625 0.322 0.303
0.981 0.678 0.303
0.217 0.217 0.000
0.293 0.500 0.793
0.707 0.500 0.207
0.783 0.783 0.000
```

The space group is Immm. The volume is 217.3 Å³ per cell. Its energy of formation is -1.11 eV per atom.

(5)
Here is a relaxed structure of SmAl6Pt12 from the Alexandria database. Energies are from PBE-GGA.

POSCAR file:
```
SmAl6Pt12
1.0
5.798 3.347 2.749
-5.798 3.347 2.749
0.000 -6.695 2.749
Sm Al Pt
1 6 12
Direct
0.000 0.000 0.000
0.274 0.274 0.707
0.274 0.707 0.274
0.293 0.726 0.726
0.707 0.274 0.274
0.726 0.293 0.726
0.726 0.726 0.293
0.122 0.500 0.878
0.122 0.878 0.500
0.154 0.394 0.394
0.394 0.154 0.394
0.394 0.394 0.154
0.500 0.122 0.878
0.500 0.878 0.122
0.606 0.606 0.846
0.606 0.846 0.606
0.846 0.606 0.606
0.878 0.122 0.500
0.878 0.500 0.122
```

The space group is R-3m. The volume is 320.1 Å³ per cell. Its energy of formation is -0.83 eV per atom.

(6)
Here is a relaxed structure of Sm2AlPt3 from the Alexandria database. Energies are from PBE-GGA.

POSCAR file:
```
Sm2AlPt3
1.0
2.816 1.626 4.225
-2.816 1.626 4.225
0.000 -3.252 4.225
Sm Al Pt
2 1 3
Direct
0.125 0.125 0.125
0.875 0.875 0.875
0.500 0.500 0.500
0.000 0.500 0.500
0.500 0.000 0.500
0.500 0.500 0.000
```

The space group is R-3m. The volume is 116.1 Å³ per cell. Its energy of formation is -1.11 eV per atom.